VASP calculation (PBE) on a geometry-optimized LaIn2Hg structure.

a = 10.7404 Å, b = 10.7404 Å, c = 10.7404 Å
α = 18.75°, β = 18.75°, γ = 18.75°
Positions (direct):
La (0.0000, 0.0000, 0.0000)
In (0.2436, 0.2436, 0.2436)
In (0.7564, 0.7564, 0.7564)
Hg (0.5000, 0.5000, 0.5000)

Computed properties:
The value obtained for the total energy is -11.18 eV/cell. The symmetry is R-3m, No. 166.


VASP calculation (PBE) on a geometry-optimized La2In2Hg structure.

a = 7.8326 Å, b = 7.8326 Å, c = 7.8326 Å
α = 143.24°, β = 143.24°, γ = 52.97°
Positions (direct):
La (0.2500, 0.7500, 0.5000)
La (0.7500, 0.2500, 0.5000)
In (0.0957, 0.0957, 0.0000)
In (0.9043, 0.9043, 0.0000)
Hg (0.5000, 0.5000, 0.0000)

Computed properties:
The relative energy among the computed polymorphs is 572.1 meV per atom. The symmetry is I4/mmm, No. 139.


VASP calculation (PBE) on a geometry-optimized La2InHg2 structure.

a = 9.0665 Å, b = 9.0665 Å, c = 3.7819 Å
α = 90.00°, β = 90.00°, γ = 90.00°
Positions (direct):
La (0.1683, 0.3317, 0.0000)
La (0.3317, 0.8317, 0.0000)
La (0.6683, 0.1683, 0.0000)
La (0.8317, 0.6683, 0.0000)
In (0.0000, 0.0000, 0.0000)
In (0.5000, 0.5000, 0.0000)
Hg (0.1298, 0.6298, 0.5000)
Hg (0.3702, 0.1298, 0.5000)
Hg (0.6298, 0.8702, 0.5000)
Hg (0.8702, 0.3702, 0.5000)

Computed properties:
The relative energy among the computed polymorphs is 162.3 meV per atom. The symmetry is P4/mbm, No. 127.


VASP calculation (PBE) on a geometry-optimized LaIn3Hg structure.

a = 5.4777 Å, b = 5.4777 Å, c = 5.4777 Å
α = 90.00°, β = 90.00°, γ = 90.00°
Positions (direct):
La (0.0000, 0.0000, 0.0000)
In (0.0000, 0.5000, 0.5000)
In (0.5000, 0.0000, 0.5000)
In (0.5000, 0.5000, 0.0000)
Hg (0.5000, 0.5000, 0.5000)

Computed properties:
The relative energy among the computed polymorphs is 455.5 meV per atom. The symmetry is Pm-3m, No. 221.


VASP calculation (PBE) on a geometry-optimized La4In5Hg structure.

a = 8.9106 Å, b = 8.9106 Å, c = 6.7288 Å
α = 100.02°, β = 100.02°, γ = 34.49°
Positions (direct):
La (0.0933, 0.0933, 0.3140)
La (0.3094, 0.3094, 0.1548)
La (0.6906, 0.6906, 0.8452)
La (0.9067, 0.9067, 0.6860)
In (0.0944, 0.0944, 0.8298)
In (0.2763, 0.2763, 0.6425)
In (0.5000, 0.5000, 0.0000)
In (0.7237, 0.7237, 0.3575)
In (0.9056, 0.9056, 0.1702)
Hg (0.5000, 0.5000, 0.5000)

Computed properties:
The value obtained for the total energy is -38.31 eV/cell. The symmetry is C2/m, No. 12.


VASP calculation (PBE) on a geometry-optimized LaInHg6 structure.

a = 5.0102 Å, b = 6.7080 Å, c = 6.7080 Å
α = 68.80°, β = 90.00°, γ = 90.00°
Positions (direct):
La (0.0000, 0.0000, 0.0000)
In (0.5000, 0.2495, 0.2495)
Hg (0.0000, 0.4610, 0.4610)
Hg (0.0000, 0.5081, 0.9526)
Hg (0.0000, 0.9526, 0.5081)
Hg (0.5000, 0.3024, 0.7386)
Hg (0.5000, 0.7386, 0.3024)
Hg (0.5000, 0.8010, 0.8010)

Computed properties:
The relative energy among the computed polymorphs is 6.4 meV per atom. The symmetry is Amm2, No. 38.


VASP calculation (PBE) on a geometry-optimized LaInHg5 structure.

a = 5.0696 Å, b = 5.0696 Å, c = 7.4986 Å
α = 90.00°, β = 90.00°, γ = 90.00°
Positions (direct):
La (0.0000, 0.0000, 0.0000)
In (0.0000, 0.0000, 0.5000)
Hg (0.0000, 0.5000, 0.2797)
Hg (0.0000, 0.5000, 0.7203)
Hg (0.5000, 0.0000, 0.2797)
Hg (0.5000, 0.0000, 0.7203)
Hg (0.5000, 0.5000, 0.0000)

Computed properties:
The value obtained for the total energy is -11.02 eV/cell. The symmetry is P4/mmm, No. 123.


VASP calculation (PBE) on a geometry-optimized La3InHg structure.

a = 10.4211 Å, b = 10.4211 Å, c = 5.6118 Å
α = 90.00°, β = 90.00°, γ = 148.74°
Positions (direct):
La (0.0540, 0.9460, 0.7500)
La (0.2468, 0.7532, 0.7500)
La (0.4350, 0.5650, 0.7500)
La (0.5650, 0.4350, 0.2500)
La (0.7532, 0.2468, 0.2500)
La (0.9460, 0.0540, 0.2500)
In (0.1511, 0.8489, 0.2500)
In (0.8489, 0.1511, 0.7500)
Hg (0.3514, 0.6486, 0.2500)
Hg (0.6486, 0.3514, 0.7500)

Computed properties:
The relative energy among the computed polymorphs is 0.0 meV per atom. The symmetry is Cmcm, No. 63.